# BRuSe3

A geometry-optimized BRuSe3 structure (PBE, the Alexandria database).

The space group is Pm-3m (No. 221) and the conventional cell measures 4.332, 4.332 and 4.332 Å, with angles of 90.00, 90.00 and 90.00 degrees. The inequivalent atoms are B at (0.000, 0.000, 0.000), Ru at (0.500, 0.500, 0.500) and Se at (0.000, 0.000, 0.500).

The uncorrected formation energy is 0.959 eV/atom. For the offset from the most stable computed form, the calculation gives 0 meV/atom. Its raw total energy is -4.322 eV per atom.

---

# B2Ru2Se

A geometry-optimized B2Ru2Se structure (PBE, the Alexandria database).

The space group is I4/mmm (No. 139) and the conventional cell measures 4.020, 4.020 and 7.340 Å, with angles of 90.00, 90.00 and 90.00 degrees. The inequivalent atoms are B at (0.000, 0.000, 0.117), Ru at (0.000, 0.500, 0.250) and Se at (0.000, 0.000, 0.500).

The uncorrected formation energy is 0.202 eV/atom. For the offset from the most stable computed form, the calculation gives 0 meV/atom. Its raw total energy is -6.876 eV per atom.

---

# B2RuSe2

A geometry-optimized B2RuSe2 structure (PBE, the Alexandria database).

The space group is I4/mmm (No. 139) and the conventional cell measures 4.593, 4.593 and 6.235 Å, with angles of 90.00, 90.00 and 90.00 degrees. The inequivalent atoms are B at (0.000, 0.000, 0.134), Ru at (0.000, 0.000, 0.500) and Se at (0.000, 0.500, 0.250).

The uncorrected formation energy is 0.749 eV/atom. For the offset from the most stable computed form, the calculation gives 281 meV/atom. Its raw total energy is -5.171 eV per atom.

---

# B2RuWSe

A geometry-optimized B2RuWSe structure (PBE, the Alexandria database).

The space group is P4/mmm (No. 123) and the conventional cell measures 4.172, 4.172 and 4.868 Å, with angles of 90.00, 90.00 and 90.00 degrees. The inequivalent atoms are B at (0.000, 0.500, 0.000), Ru at (0.000, 0.000, 0.500), W at (0.500, 0.500, 0.000) and Se at (0.500, 0.500, 0.500).

The uncorrected formation energy is 1.567 eV/atom. Its raw total energy is -6.247 eV per atom.

---

# YBRu2Se

A geometry-optimized YBRu2Se structure (PBE, the Alexandria database).

The space group is P4/mmm (No. 123) and the conventional cell measures 4.097, 4.097 and 5.070 Å, with angles of 90.00, 90.00 and 90.00 degrees. The inequivalent atoms are Y at (0.000, 0.000, 0.000), B at (0.000, 0.000, 0.500), Ru at (0.000, 0.500, 0.500) and Se at (0.500, 0.500, 0.000).

The uncorrected formation energy is -0.180 eV/atom. Its raw total energy is -7.216 eV per atom.

---

# SiB2Ru

A geometry-optimized SiB2Ru structure (PBE, the Alexandria database).

The space group is I-42d (No. 122) and the conventional cell measures 4.859, 4.859 and 8.812 Å, with angles of 90.00, 90.00 and 90.00 degrees. The inequivalent atoms are Si at (0.000, 0.000, 0.000), B at (0.245, 0.250, 0.625) and Ru at (0.000, 0.000, 0.500).

The uncorrected formation energy is 0.503 eV/atom. Its raw total energy is -6.511 eV per atom.

---

# Si3BRu

A geometry-optimized Si3BRu structure (PBE, the Alexandria database).

The space group is Pm-3m (No. 221) and the conventional cell measures 4.562, 4.562 and 4.562 Å, with angles of 90.00, 90.00 and 90.00 degrees. The inequivalent atoms are Si at (0.000, 0.000, 0.500), B at (0.500, 0.500, 0.500) and Ru at (0.000, 0.000, 0.000).

The uncorrected formation energy is 1.172 eV/atom. For the offset from the most stable computed form, the calculation gives 439 meV/atom. Its raw total energy is -5.273 eV per atom.

---

# SiBRu2

A geometry-optimized SiBRu2 structure (PBE, the Alexandria database).

The space group is I-42d (No. 122) and the conventional cell measures 6.766, 6.766 and 4.473 Å, with angles of 90.00, 90.00 and 90.00 degrees. The inequivalent atoms are Si at (0.000, 0.000, 0.000), B at (0.000, 0.000, 0.500) and Ru at (0.146, 0.250, 0.625).

The uncorrected formation energy is 0.002 eV/atom. For the offset from the most stable computed form, the calculation gives 233 meV/atom. Its raw total energy is -7.661 eV per atom.

---

| no. | calculated volume (Å³ per cell) |
| --- | --- |
| 1 | 81.3 |
| 2 | 118.6 |
| 3 | 131.5 |
| 4 | 84.7 |
| 5 | 85.1 |
| 6 | 208.1 |
| 7 | 95.0 |
| 8 | 204.8 |